Mg5AgBi2Pd2 | Alexandria via LeMat-Bulk | PBE-GGA | optimized geometry; E = -3.2354 eV/atom; space-group type = No. 127; total moment = 0.0 μB per formula unit; formation enthalpy at 0 K = -0.3382 eV/atom
1.0
11.222 0.000 0.000
0.000 11.222 0.000
0.000 0.000 3.391
Mg Ag Bi Pd
10 2 4 4
Direct
0.000 0.500 0.000
0.052 0.202 0.000
0.202 0.948 0.000
0.298 0.448 0.000
0.448 0.702 0.000
0.500 0.000 0.000
0.552 0.298 0.000
0.702 0.552 0.000
0.798 0.052 0.000
0.948 0.798 0.000
0.000 0.000 0.500
0.500 0.500 0.500
0.181 0.681 0.500
0.319 0.181 0.500
0.681 0.819 0.500
0.819 0.319 0.500
0.130 0.370 0.500
0.370 0.870 0.500
0.630 0.130 0.500
0.870 0.630 0.500

=====

Sm3HoTm3 | Alexandria via LeMat-Bulk | PBE-GGA | optimized geometry; E = -4.4265 eV/atom; space-group type = No. 148; polymorph energy (0 for the lowest one) = 151 meV/atom; total moment = 0.0 μB per formula unit; formation enthalpy at 0 K = 0.1663 eV/atom
1.0
3.082 1.779 14.227
-3.082 1.779 14.227
0.000 -3.559 14.227
Sm Ho Tm
6 2 6
Direct
0.131 0.462 0.800
0.200 0.869 0.538
0.462 0.800 0.131
0.538 0.200 0.869
0.800 0.131 0.462
0.869 0.538 0.200
0.333 0.333 0.333
0.667 0.667 0.667
0.065 0.731 0.399
0.269 0.601 0.935
0.399 0.065 0.731
0.601 0.935 0.269
0.731 0.399 0.065
0.935 0.269 0.601

=====

> total moment of number 2 (Sm3HoTm3)?

0.0 μB per formula unit

=====

> What is the formation enthalpy at 0 K in the first record?

-0.3382 eV/atom

=====

> Which of these has the highest E?

Mg5AgBi2Pd2